Tb8Ge3Te4P: relaxed, PBE-GGA.

Output
For the total magnetization, the calculation gives 0.0 μB/cell. Its total energy is -5.60 eV/atom. As for the density of states at the Fermi level: 0.214 states/eV per atom.

Cell lengths 8.4601, 8.6224, 8.4601 Å; angles 119.38, 120.00, 90.00 degrees
Positions (direct):
Tb1 0.2386 0.7179 0.9793
Tb2 0.2387 0.7179 0.4773
Tb3 0.2593 0.2780 0.5187
Tb4 0.7406 0.7179 0.9793
Tb5 0.2594 0.2821 0.0207
Tb6 0.7407 0.7220 0.4813
Tb7 0.7613 0.2821 0.5227
Tb8 0.7614 0.2821 0.0207
Ge1 0.5000 0.5000 0.0000
Ge2 0.5000 0.5000 0.5000
Ge3 0.0000 0.5000 0.5000
Te1 0.5000 0.0000 0.0000
Te2 0.5000 0.0000 0.5000
Te3 0.0000 0.0000 0.0000
Te4 0.0000 0.0000 0.5000
P1 0.0000 0.5000 0.0000

=====

TbThGeP: relaxed, PBE-GGA.

Output
The calculated formation energy comes out at -1.17 eV per atom. For the total magnetization, the calculation gives 0.0 μB/cell. As for the density of states at the Fermi level: 0.418 states/eV per atom.

Cell lengths 4.1722, 4.1722, 7.1939 Å; angles 73.14, 73.14, 60.00 degrees
Positions (direct):
Tb1 0.6960 0.6960 0.9120
Th1 0.1918 0.1918 0.4246
Ge1 0.9460 0.9460 0.1621
P1 0.4426 0.4426 0.6721

=====

TcGeP3: relaxed, PBE-GGA.

Output
The calculated formation energy comes out at 0.65 eV per atom. For the total magnetization, the calculation gives 0.0 μB/cell. As for the energy above the lowest structure with this stoichiometry: 0 meV per atom. As for the density of states at the Fermi level: 0.875 states/eV per atom.

Cell lengths 4.6302, 4.6302, 4.6302 Å; angles 90.00, 90.00, 90.00 degrees
Positions (direct):
P1 0.0000 0.5000 0.0000
P2 0.0000 0.0000 0.5000
P3 0.5000 0.0000 0.0000
Ge1 0.5000 0.5000 0.5000
Tc1 0.0000 0.0000 0.0000

=====

TcGeP: relaxed, PBE-GGA.

Output
The calculated formation energy comes out at -0.18 eV per atom. For the total magnetization, the calculation gives 0.0 μB/cell. As for the density of states at the Fermi level: 0.089 states/eV per atom.

Cell lengths 6.2846, 6.5211, 6.5212 Å; angles 122.63, 90.00, 90.00 degrees
Positions (direct):
Ge1 0.2205 0.3914 0.8586
Ge2 0.2205 0.8914 0.3586
Ge3 0.7205 0.1086 0.6414
Ge4 0.7205 0.6086 0.1414
P1 0.7857 0.6076 0.6425
P2 0.7857 0.1075 0.1424
P3 0.2857 0.8925 0.8576
P4 0.2857 0.3924 0.3575
Tc1 0.9957 0.2653 0.4847
Tc2 0.4957 0.7347 0.5153
Tc3 0.4957 0.2347 0.0153
Tc4 0.9957 0.7653 0.9847

=====

Tc2GeP: relaxed, PBE-GGA.

Output
The calculated formation energy comes out at -0.20 eV per atom. For the total magnetization, the calculation gives 0.0 μB/cell. As for the energy above the lowest structure with this stoichiometry: 146 meV per atom. As for the density of states at the Fermi level: 0.700 states/eV per atom.

Cell lengths 2.9817, 2.9817, 7.6009 Å; angles 78.69, 78.69, 60.00 degrees
Positions (direct):
Tc1 0.0793 0.0793 0.7621
Tc2 0.2537 0.2537 0.2390
Ge1 0.5003 0.5003 0.4990
P1 0.6667 0.6667 0.9999

=====

Tc2GeP: relaxed, PBE-GGA.

Output
The calculated formation energy comes out at -0.20 eV per atom. For the total magnetization, the calculation gives 0.0 μB/cell. As for the energy above the lowest structure with this stoichiometry: 144 meV per atom. As for the density of states at the Fermi level: 0.522 states/eV per atom.

Cell lengths 4.2519, 4.2519, 4.2519 Å; angles 60.00, 60.00, 60.00 degrees
Positions (direct):
P1 0.0000 0.0000 0.0000
Ge1 0.5000 0.5000 0.5000
Tc1 0.2500 0.2500 0.2500
Tc2 0.7500 0.7500 0.7500

=====

Tc2GeP: relaxed, PBE-GGA.

Output
The calculated formation energy comes out at 0.25 eV per atom. For the total magnetization, the calculation gives 0.0 μB/cell. As for the energy above the lowest structure with this stoichiometry: 600 meV per atom. As for the density of states at the Fermi level: 1.206 states/eV per atom.

Cell lengths 3.9488, 3.9488, 8.7762 Å; angles 77.00, 77.00, 90.00 degrees
Positions (direct):
P1 0.5000 0.5000 0.0000
P2 0.2500 0.7500 0.5000
Ge1 0.0000 0.0000 0.0000
Ge2 0.7500 0.2500 0.5000
Tc1 0.5723 0.1250 0.2500
Tc2 0.1777 0.6250 0.2500
Tc3 0.3750 0.4277 0.7500
Tc4 0.8750 0.8223 0.7500

=====

Tc2GeP: relaxed, PBE-GGA.

Output
The calculated formation energy comes out at -0.24 eV per atom. For the total magnetization, the calculation gives 0.0 μB/cell. As for the energy above the lowest structure with this stoichiometry: 106 meV per atom. As for the density of states at the Fermi level: 0.745 states/eV per atom.

Cell lengths 2.9927, 2.9927, 6.0717 Å; angles 90.00, 90.00, 90.00 degrees
Positions (direct):
P1 0.5000 0.5000 0.0000
Ge1 0.5000 0.5000 0.5000
Tc1 0.0000 0.0000 0.7642
Tc2 0.0000 0.0000 0.2358

=====

Tc2GeP: relaxed, PBE-GGA.

Output
The calculated formation energy comes out at -0.35 eV per atom. For the total magnetization, the calculation gives 0.0 μB/cell. As for the energy above the lowest structure with this stoichiometry: 0 meV per atom. As for the density of states at the Fermi level: 0.873 states/eV per atom.

Cell lengths 5.7167, 6.3740, 6.4643 Å; angles 90.00, 89.92, 90.00 degrees
Positions (direct):
Tc1 0.5091 0.6913 0.1523
Tc2 0.0091 0.8087 0.1523
Tc3 0.9901 0.1972 0.4003
Tc4 0.9909 0.1913 0.8477
Tc5 0.0099 0.8028 0.5997
Tc6 0.5099 0.6972 0.5997
Tc7 0.4909 0.3087 0.8477
Tc8 0.4901 0.3028 0.4003
Ge1 0.1826 0.4292 0.1212
Ge2 0.3174 0.9292 0.8788
Ge3 0.6826 0.0708 0.1212
Ge4 0.8174 0.5708 0.8788
P1 0.6847 0.0554 0.6274
P2 0.1847 0.4446 0.6274
P3 0.3153 0.9446 0.3726
P4 0.8153 0.5554 0.3726

=====

V2TcGeP: relaxed, PBE-GGA.

Output
The calculated formation energy comes out at 0.81 eV per atom. For the total magnetization, the calculation gives 0.0 μB/cell. As for the density of states at the Fermi level: 1.362 states/eV per atom.

Cell lengths 4.2341, 4.6221, 4.2341 Å; angles 90.00, 90.00, 90.00 degrees
Positions (direct):
P1 0.0000 0.0000 0.0000
Ge1 0.0000 0.5000 0.0000
Tc1 0.5000 0.5000 0.5000
V1 0.0000 0.0000 0.5000
V2 0.5000 0.0000 0.0000

=====

Ge2TeP2: relaxed, PBE-GGA.

Output
For the total magnetization, the calculation gives 0.0 μB/cell. Its total energy is -4.34 eV/atom. As for the density of states at the Fermi level: 0.446 states/eV per atom.

Cell lengths 3.7656, 3.7656, 7.8053 Å; angles 76.04, 76.04, 90.00 degrees
Positions (direct):
P1 0.7500 0.2500 0.5000
P2 0.2500 0.7500 0.5000
Ge1 0.3831 0.3831 0.2339
Ge2 0.6169 0.6169 0.7661
Te1 0.0000 0.0000 0.0000

=====

Ge2TeP: relaxed, PBE-GGA.

Output
For the total magnetization, the calculation gives 0.0 μB/cell. As for the energy above the lowest structure with this stoichiometry: 470 meV per atom. As for the density of states at the Fermi level: 0.744 states/eV per atom.

Cell lengths 4.7030, 4.7030, 7.4836 Å; angles 71.69, 71.69, 60.00 degrees
Positions (direct):
P1 0.0000 0.0000 0.0000
Ge1 0.1059 0.1059 0.6823
Ge2 0.8941 0.8941 0.3177
Te1 0.5000 0.5000 0.5000